Material: KPAu2
Method: DFT, SCAN
State: single point on PBEsol structure

calculated density = 6.5 g cm⁻³
SG = I-42d
energy of formation from the pure elements = -0.49 eV per atom

a b c (Å): 5.659 5.659 14.735
angles (deg): 90.00 90.00 90.00
Fractional positions:
K: 0.000 0.000 0.000
K: 0.000 0.500 0.250
K: 0.500 0.000 0.750
K: 0.500 0.500 0.500
P: 0.000 0.000 0.500
P: 0.000 0.500 0.750
P: 0.500 0.000 0.250
P: 0.500 0.500 0.000
Au: 0.017 0.250 0.625
Au: 0.250 0.517 0.875
Au: 0.250 0.983 0.375
Au: 0.483 0.250 0.125
Au: 0.517 0.750 0.125
Au: 0.750 0.017 0.375
Au: 0.750 0.483 0.875
Au: 0.983 0.750 0.625

=====

Material: KPAu2
Method: DFT, SCAN
State: single point on PBEsol structure

calculated density = 9.9 g cm⁻³
SG = I-4m2
energy of formation from the pure elements = 0.33 eV per atom

a b c (Å): 4.397 4.397 8.011
angles (deg): 90.00 90.00 90.00
Fractional positions:
K: 0.000 0.000 0.000
K: 0.500 0.500 0.500
P: 0.000 0.500 0.250
P: 0.500 0.000 0.750
Au: 0.000 0.000 0.500
Au: 0.000 0.500 0.750
Au: 0.500 0.000 0.250
Au: 0.500 0.500 0.000

=====

Material: K2P2Au
Method: DFT, SCAN
State: single point on PBEsol structure

calculated density = 3.6 g cm⁻³
SG = I4/mmm
energy of formation from the pure elements = -0.02 eV per atom

a b c (Å): 6.056 6.056 8.487
angles (deg): 90.00 90.00 90.00
Fractional positions:
K: 0.000 0.500 0.250
K: 0.000 0.500 0.750
K: 0.500 0.000 0.250
K: 0.500 0.000 0.750
P: 0.000 0.000 0.117
P: 0.000 0.000 0.883
P: 0.500 0.500 0.383
P: 0.500 0.500 0.617
Au: 0.000 0.000 0.500
Au: 0.500 0.500 0.000

=====

Material: K3PAu5
Method: DFT, SCAN
State: single point on PBEsol structure

calculated density = 9.1 g cm⁻³
SG = Imma
energy of formation from the pure elements = -0.44 eV per atom

a b c (Å): 10.294 10.294 10.294
angles (deg): 148.16 57.47 133.48
Fractional positions:
K: 0.145 0.895 0.250
K: 0.216 0.128 0.088
K: 0.460 0.872 0.588
K: 0.540 0.128 0.412
K: 0.784 0.872 0.912
K: 0.855 0.105 0.750
P: 0.426 0.676 0.750
P: 0.574 0.324 0.250
Au: 0.000 0.500 0.500
Au: 0.138 0.482 0.656
Au: 0.173 0.000 0.673
Au: 0.173 0.500 0.173
Au: 0.326 0.482 0.844
Au: 0.500 0.500 0.000
Au: 0.674 0.518 0.156
Au: 0.827 0.000 0.327
Au: 0.827 0.500 0.827
Au: 0.862 0.518 0.344

=====

Material: KP2AuS7
Method: DFT, SCAN
State: single point on PBEsol structure

calculated density = 3.2 g cm⁻³
SG = C2/c
VASP energy = -0.572 hartree per atom

a b c (Å): 6.019 6.019 15.054
angles (deg): 91.39 91.39 99.95
Fractional positions:
K: 0.245 0.755 0.750
K: 0.755 0.245 0.250
P: 0.156 0.812 0.141
P: 0.188 0.844 0.359
P: 0.812 0.156 0.641
P: 0.844 0.188 0.859
Au: 0.000 0.500 0.500
Au: 0.500 0.000 0.000
S: 0.141 0.307 0.617
S: 0.170 0.236 0.842
S: 0.236 0.170 0.342
S: 0.276 0.654 0.033
S: 0.307 0.141 0.117
S: 0.320 0.680 0.250
S: 0.346 0.724 0.467
S: 0.654 0.276 0.533
S: 0.680 0.320 0.750
S: 0.693 0.859 0.883
S: 0.724 0.346 0.967
S: 0.764 0.830 0.658
S: 0.830 0.764 0.158
S: 0.859 0.693 0.383

=====

Material: KP2AuS
Method: DFT, SCAN
State: single point on PBEsol structure

calculated density = 4.6 g cm⁻³
SG = P4/mmm
VASP energy = -0.779 hartree per atom

a b c (Å): 4.786 4.786 5.200
angles (deg): 90.00 90.00 90.00
Fractional positions:
K: 0.000 0.000 0.000
P: 0.000 0.500 0.500
P: 0.500 0.000 0.500
Au: 0.500 0.500 0.500
S: 0.500 0.500 0.000